(1)
The following is a DFT calculation (PBE) of crystalline CaZn2Br at its relaxed geometry.

Density of states at the Fermi level ... 0.339 states/eV per atom
Raw formation energy ... -2.20 eV/f.u.
Distance to the lowest polymorph of the same formula ... 0.047 eV/atom

Cell: 3.5757 3.5757 8.6297 Å, 90.00 90.00 90.00°
Atoms (fractional coordinates):
Zn  0.5000  0.5000  0.1261
Zn  0.0000  0.0000  0.0281
Ca  0.5000  0.5000  0.7654
Br  0.0000  0.0000  0.5804


(2)
The following is a DFT calculation (PBE) of crystalline Ca2ZnBr at its relaxed geometry.

Density of states at the Fermi level ... 0.976 states/eV per atom
Raw formation energy ... -2.18 eV/f.u.
Distance to the lowest polymorph of the same formula ... 0.231 eV/atom

Cell: 6.0273 6.0273 6.0273 Å, 140.61 114.49 79.20°
Atoms (fractional coordinates):
Ca  0.4849  0.4849  0.0000
Ca  0.0151  0.0151  0.0000
Zn  0.7500  0.2500  0.5000
Br  0.2500  0.7500  0.5000


(3)
The following is a DFT calculation (PBE) of crystalline Ca4ZnBr at its relaxed geometry.

Density of states at the Fermi level ... 1.322 states/eV per atom
Raw formation energy ... 0.91 eV/f.u.

Cell: 6.9518 6.9518 6.9518 Å, 60.00 60.00 60.00°
Atoms (fractional coordinates):
Zn  0.7500  0.7500  0.7500
Ca  0.3759  0.3759  0.8723
Ca  0.3759  0.3759  0.3759
Ca  0.8723  0.3759  0.3759
Ca  0.3759  0.8723  0.3759
Br  0.0000  0.0000  0.0000


(4)
The following is a DFT calculation (PBE) of crystalline Ca2ZnBr at its relaxed geometry.

Density of states at the Fermi level ... 0.997 states/eV per atom
Raw formation energy ... -3.10 eV/f.u.
Distance to the lowest polymorph of the same formula ... 0.000 eV/atom

Cell: 4.0638 4.0638 8.4606 Å, 76.06 76.06 59.90°
Atoms (fractional coordinates):
Br  0.2500  0.2500  0.2500
Ca  0.4952  0.4952  0.5165
Ca  0.0048  0.0048  0.9835
Zn  0.7500  0.7500  0.7500


Q: What is the formula in the second record?
A: Ca2ZnBr


Q: The highest density of states at the Fermi level belongs to which entry?
A: Ca4ZnBr